Record 1
First-principles (PBE-GGA) data for a relaxed LiSmDyCd crystal, as listed in Alexandria.

a = 5.308 Å, b = 5.308 Å, c = 5.308 Å
α = 60.00°, β = 60.00°, γ = 60.00°
Fractional coordinates of all 4 atoms:
Li  0.000  0.000  0.000
Sm  0.750  0.750  0.750
Dy  0.250  0.250  0.250
Cd  0.500  0.500  0.500

Values from the calculation:
Its formation energy is -0.115 eV per atom. Its space group is F-43m, No. 216.

---

Record 2
First-principles (PBE-GGA) data for a relaxed Ac3TcGe2 crystal, as listed in Alexandria.

a = 8.383 Å, b = 8.383 Å, c = 8.383 Å
α = 125.41°, β = 87.90°, γ = 117.20°
Fractional coordinates of all 12 atoms:
Ac  0.077  0.750  0.327
Ac  0.250  0.250  0.000
Ac  0.423  0.750  0.673
Ac  0.577  0.250  0.327
Ac  0.750  0.750  0.000
Ac  0.923  0.250  0.673
Tc  0.000  0.500  0.500
Tc  0.500  0.000  0.500
Ge  0.118  0.221  0.339
Ge  0.382  0.721  0.102
Ge  0.618  0.279  0.898
Ge  0.882  0.779  0.661

Values from the calculation:
Its formation energy is -0.154 eV per atom. Its space group is Ibam, No. 72.

---

Record 3
First-principles (PBE-GGA) data for a relaxed CaTe2Mo crystal, as listed in Alexandria.

a = 4.185 Å, b = 3.913 Å, c = 7.639 Å
α = 90.00°, β = 105.52°, γ = 90.00°
Fractional coordinates of all 4 atoms:
Ca  0.000  0.000  0.000
Te  0.329  0.500  0.749
Te  0.671  0.500  0.251
Mo  0.000  0.000  0.500

Values from the calculation:
The value obtained for the uncorrected formation energy is -176 meV per atom. Its space group is P2/m, No. 10.

---

Record 4
First-principles (PBE-GGA) data for a relaxed Ca2Tl2Ag15 crystal, as listed in Alexandria.

a = 7.411 Å, b = 7.411 Å, c = 7.411 Å
α = 83.33°, β = 83.33°, γ = 83.33°
Fractional coordinates of all 19 atoms:
Ca  0.147  0.147  0.147
Ca  0.853  0.853  0.853
Tl  0.393  0.393  0.393
Tl  0.607  0.607  0.607
Ag  0.000  0.500  0.500
Ag  0.154  0.154  0.668
Ag  0.154  0.668  0.154
Ag  0.180  0.500  0.820
Ag  0.180  0.820  0.500
Ag  0.332  0.846  0.846
Ag  0.500  0.000  0.500
Ag  0.500  0.180  0.820
Ag  0.500  0.500  0.000
Ag  0.500  0.820  0.180
Ag  0.668  0.154  0.154
Ag  0.820  0.180  0.500
Ag  0.820  0.500  0.180
Ag  0.846  0.332  0.846
Ag  0.846  0.846  0.332

Values from the calculation:
Its formation energy is -0.071 eV per atom. Its space group is R-3m, No. 166.

---

Record 5
First-principles (PBE-GGA) data for a relaxed Re2HgAs crystal, as listed in Alexandria.

a = 3.015 Å, b = 3.999 Å, c = 5.725 Å
α = 90.00°, β = 103.95°, γ = 90.00°
Fractional coordinates of all 4 atoms:
Re  0.135  0.000  0.286
Re  0.865  0.000  0.714
Hg  0.500  0.500  0.000
As  0.500  0.500  0.500

Values from the calculation:
Its formation energy is 0.765 eV per atom. Its space group is P2/m, No. 10.

---

Record 6
First-principles (PBE-GGA) data for a relaxed RbBeCuCl2 crystal, as listed in Alexandria.

a = 4.880 Å, b = 4.880 Å, c = 5.963 Å
α = 90.00°, β = 90.00°, γ = 90.00°
Fractional coordinates of all 5 atoms:
Rb  0.000  0.000  0.000
Be  0.500  0.500  0.000
Cu  0.000  0.000  0.500
Cl  0.000  0.500  0.500
Cl  0.500  0.000  0.500

Values from the calculation:
The value obtained for the uncorrected formation energy is 86 meV per atom. Its space group is P4/mmm, No. 123.

---

Record 7
First-principles (PBE-GGA) data for a relaxed TbDy3Al crystal, as listed in Alexandria.

a = 5.197 Å, b = 5.614 Å, c = 5.614 Å
α = 109.84°, β = 90.00°, γ = 90.00°
Fractional coordinates of all 5 atoms:
Tb  0.000  0.000  0.000
Dy  0.000  0.521  0.521
Dy  0.500  0.081  0.445
Dy  0.500  0.445  0.081
Al  0.500  0.758  0.758

Values from the calculation:
Its formation energy is 0.112 eV per atom. Its space group is Amm2, No. 38.

---

Record 8
First-principles (PBE-GGA) data for a relaxed AlAsPdBr2 crystal, as listed in Alexandria.

a = 4.950 Å, b = 4.950 Å, c = 5.050 Å
α = 90.00°, β = 90.00°, γ = 90.00°
Fractional coordinates of all 5 atoms:
Al  0.000  0.000  0.000
As  0.000  0.000  0.500
Pd  0.500  0.500  0.500
Br  0.000  0.500  0.000
Br  0.500  0.000  0.000

Values from the calculation:
The value obtained for the uncorrected formation energy is 304 meV per atom. Its space group is P4/mmm, No. 123.

---

| no. | electronic total energy (eV/atom) | volume (Å³ per atom) | total magnetization (Bohr magnetons per cell) |
| --- | --- | --- | --- |
| 1 | -3.153 | 26.44 | 0.00 |
| 2 | -5.475 | 33.77 | 0.00 |
| 3 | -4.955 | 30.13 | 3.96 |
| 4 | -2.781 | 21.02 | 0.00 |
| 5 | -6.697 | 16.75 | 0.00 |
| 6 | -2.411 | 28.40 | 0.00 |
| 7 | -4.324 | 30.81 | 0.00 |
| 8 | -3.082 | 24.75 | 0.00 |